KRb2ZnF after structural relaxation. Source: Alexandria via LeMat-Bulk, functional PBE.

## Properties
Formation energy (no corrections) (eV/atom): -0.9269
Volume (Å³/cell): 182.9
Density of states at the Fermi level (states/eV per cell): 2.7
DFT total energy (eV/atom): -2.163

a b c (Å): 5.766 5.766 5.501
angles (deg): 90.00 90.00 90.00
Positions (direct):
K1 0.000 0.000 0.000
Rb1 0.000 0.500 0.500
Rb2 0.500 0.000 0.500
Zn1 0.500 0.500 0.000
F1 0.000 0.000 0.500